Entry 1:
Density functional theory data (PBE) for an optimized crystal structure of ReHg2Br.

abc: 5.501 5.501 5.501
angles: 133.51 133.51 67.85
Last column: magnetic moment on the atom in μB.
Sites, in units of the cell vectors:
Re  0.500  0.500  0.000  2.25
Hg  0.000  0.000  0.000  -0.03
Hg  0.250  0.750  0.500  -0.03
Br  0.750  0.250  0.500  0.07

Computed properties:
symmetry = I-4m2, No. 119
E_form (uncorrected) = 4.701 eV per formula unit
Fermi-level density of states = 0.681 states/eV per atom
raw total energy = -10.0 eV for the cell shown
magnetic moment = 0.6536 μB per atom

Entry 2:
Density functional theory data (PBE) for an optimized crystal structure of Re2HgBr.

abc: 4.756 4.756 5.545
angles: 77.86 77.86 36.12
Sites, in units of the cell vectors:
Re  0.997  0.997  0.952
Re  0.503  0.503  0.548
Hg  0.250  0.250  0.250
Br  0.750  0.750  0.750

Computed properties:
symmetry = C2/m, No. 12
E_form (uncorrected) = 4.996 eV per formula unit
Fermi-level density of states = 0.899 states/eV per atom
raw total energy = -21.9 eV for the cell shown
magnetic moment = 0.0000 μB per atom

Entry 3:
Density functional theory data (PBE) for an optimized crystal structure of ReHgBr.

abc: 4.936 4.936 4.936
angles: 60.00 60.00 60.00
Last column: magnetic moment on the atom in μB.
Sites, in units of the cell vectors:
Re  0.000  0.000  0.000  3.55
Hg  0.750  0.750  0.750  0.02
Br  0.500  0.500  0.500  0.16

Computed properties:
symmetry = F-43m, No. 216
E_form (uncorrected) = 5.553 eV per formula unit
Fermi-level density of states = 0.865 states/eV per atom
raw total energy = -8.9 eV for the cell shown
magnetic moment = 1.5017 μB per atom

Entry 4:
Density functional theory data (PBE) for an optimized crystal structure of ReHg3Br.

abc: 6.041 6.041 6.041
angles: 90.00 90.00 90.00
Last column: magnetic moment on the atom in μB.
Sites, in units of the cell vectors:
Re  0.500  0.500  0.500  4.19
Hg  0.000  0.500  0.000  0.01
Hg  0.000  0.000  0.500  0.03
Hg  0.500  0.000  0.000  0.04
Br  0.000  0.000  0.000  0.00

Computed properties:
symmetry = Pm-3m, No. 221
E_form (uncorrected) = 7.883 eV per formula unit
Fermi-level density of states = 0.823 states/eV per atom
raw total energy = -7.1 eV for the cell shown
magnetic moment = 1.0373 μB per atom

Entry 5:
Density functional theory data (PBE) for an optimized crystal structure of ReHg2Br.

abc: 3.076 3.076 9.582
angles: 90.00 90.00 90.00
Sites, in units of the cell vectors:
Re  0.000  0.000  0.517
Hg  0.000  0.000  0.017
Hg  0.500  0.500  0.300
Br  0.500  0.500  0.665

Computed properties:
symmetry = P4mm, No. 99
E_form (uncorrected) = 2.923 eV per formula unit
Fermi-level density of states = 0.512 states/eV per atom
raw total energy = -11.8 eV for the cell shown
magnetic moment = 0.0000 μB per atom

Entry 6:
Density functional theory data (PBE) for an optimized crystal structure of ReHgSeBr2.

abc: 5.283 5.283 4.764
angles: 90.00 90.00 90.00
Last column: magnetic moment on the atom in μB.
Sites, in units of the cell vectors:
Re  0.000  0.000  0.000  0.82
Se  0.000  0.000  0.500  -0.02
Hg  0.500  0.500  0.500  -0.03
Br  0.000  0.500  0.000  0.04
Br  0.500  0.000  0.000  0.04

Computed properties:
symmetry = P4/mmm, No. 123
E_form (uncorrected) = 1.431 eV per formula unit
Fermi-level density of states = 0.775 states/eV per atom
raw total energy = -18.1 eV for the cell shown
magnetic moment = 0.2012 μB per atom

Entry 7:
Density functional theory data (PBE) for an optimized crystal structure of HgRhBr.

abc: 4.597 4.597 4.597
angles: 60.00 60.00 60.00
Sites, in units of the cell vectors:
Rh  0.750  0.750  0.750
Hg  0.500  0.500  0.500
Br  0.000  0.000  0.000

Computed properties:
symmetry = F-43m, No. 216
E_form (uncorrected) = 1.123 eV per formula unit
Fermi-level density of states = 1.348 states/eV per atom
raw total energy = -8.2 eV for the cell shown
magnetic moment = 0.0129 μB per atom

Entry 8:
Density functional theory data (PBE) for an optimized crystal structure of HgRh2Br.

abc: 4.501 4.501 5.609
angles: 77.97 77.97 41.01
Last column: magnetic moment on the atom in μB.
Sites, in units of the cell vectors:
Rh  0.000  0.000  0.966  0.47
Rh  0.500  0.500  0.534  0.47
Hg  0.250  0.250  0.250  0.00
Br  0.750  0.750  0.750  0.06

Computed properties:
symmetry = C2/m, No. 12
E_form (uncorrected) = 1.897 eV per formula unit
Fermi-level density of states = 1.313 states/eV per atom
raw total energy = -14.8 eV for the cell shown
magnetic moment = 0.2531 μB per atom

- Which of these has the lowest E_form (uncorrected)?
  HgRhBr

What did the first record say?
Density functional theory data (PBE) for an optimized crystal structure of ReHg2Br.

abc: 5.501 5.501 5.501
angles: 133.51 133.51 67.85
Last column: magnetic moment on the atom in μB.
Sites, in units of the cell vectors:
Re  0.500  0.500  0.000  2.25
Hg  0.000  0.000  0.000  -0.03
Hg  0.250  0.750  0.500  -0.03
Br  0.750  0.250  0.500  0.07

Computed properties:
symmetry = I-4m2, No. 119
E_form (uncorrected) = 4.701 eV per formula unit
Fermi-level density of states = 0.681 states/eV per atom
raw total energy = -10.0 eV for the cell shown
magnetic moment = 0.6536 μB per atom

- Which value of raw total energy does entry 5 give?
  -11.8 eV for the cell shown

- What is the magnetic moment in the third record?
  1.5017 μB per atom